# SrHgMoO4, relaxed, DFT PBE+U
# * size of the total moment: 0.0 μB per formula unit
# * E: -6.021 eV per atom
data_SrHgMoO4
_symmetry_space_group_name_H-M 'C 1 2/m 1'
_symmetry_Int_Tables_number 12
_symmetry_space_group_name_Hall '-C 2y'
_cell_length_a 12.267
_cell_length_b 7.146
_cell_length_c 7.348
_cell_angle_alpha 90.00
_cell_angle_beta 103.19
_cell_angle_gamma 90.00
loop_
_atom_site_label
_atom_site_type_symbol
_atom_site_fract_x
_atom_site_fract_y
_atom_site_fract_z
Sr1 Sr 0.215 0.000 0.339
Hg1 Hg 0.027 0.500 0.235
Mo1 Mo 0.138 0.000 0.763
O1 O 0.009 0.000 0.257
O2 O 0.180 0.198 0.639
O3 O 0.210 0.000 0.002